1.
The following is a DFT calculation (PBE) of a geometry-optimized LiPaCoOs structure.

Results
space group	F-43m (216)
V	16.107	Å³ per atom
formation enthalpy at 0 K	-0.04	eV per atom

```
4
Lattice="4.500 0.000 0.000 2.250 3.897 0.000 2.250 1.299 3.674" Properties=species:S:1:pos:R:3 pbc="T T T"
Co 6.750 3.897 2.756
Pa 0.000 0.000 0.000
Os 2.250 1.299 0.919
Li 4.500 2.598 1.837
```

***

2.
The following is a DFT calculation (PBE) of a geometry-optimized LiCoRe2Os structure.

Results
space group	P4/mmm (123)
V	14.763	Å³ per atom
formation enthalpy at 0 K	1.38	eV per atom

```
5
Lattice="4.411 0.000 0.000 0.000 3.795 0.000 0.000 0.000 4.411" Properties=species:S:1:pos:R:3 pbc="T T T"
Re 0.000 0.000 2.205
Re 2.205 0.000 0.000
Li 0.000 1.897 0.000
Os 2.205 1.897 2.205
Co 0.000 0.000 0.000
```